1.
# LiZn2S2

A relaxed structure of LiZn2S2 (PBE-GGA, Alexandria via LeMat-Bulk).

As for the raw formation energy: -1.7 eV/f.u.

The structure belongs to space group I4/mmm (No. 139); the cell edges are 4.1322, 4.1322 and 12.4108 Å and the angles 90.00°, 90.00° and 90.00°. The distinct sites, in fractional coordinates, are Li at (0.0000, 0.0000, 0.0000), Zn at (0.0000, 0.5000, 0.2500) and S at (0.0000, 0.0000, 0.3583).

***

2.
# La3IrPb

A relaxed structure of La3IrPb (PBE-GGA, Alexandria via LeMat-Bulk).

Its energy of formation is -0.605 eV per atom.

The structure belongs to space group P-1 (No. 2); the cell edges are 4.4820, 8.5153 and 8.8439 Å and the angles 85.20°, 89.99° and 74.77°. The distinct sites, in fractional coordinates, are La at (0.0530, 0.3946, 0.1684), La at (0.2466, 0.0066, 0.7855), La at (0.3805, 0.7374, 0.4717), Ir at (0.1940, 0.1133, 0.3989) and Pb at (0.3920, 0.7166, 0.0917).

***

3.
# Nd3Th2NpAs6

A relaxed structure of Nd3Th2NpAs6 (PBE-GGA, Alexandria via LeMat-Bulk).

Its energy of formation is -1.348 eV per atom.

The structure belongs to space group C2/m (No. 12); the cell edges are 18.5124, 4.2414 and 8.4881 Å and the angles 90.00°, 103.46° and 90.00°. The distinct sites, in fractional coordinates, are Nd at (0.0000, 0.0000, 0.0000), Nd at (0.1673, 0.5000, 0.3332), Th at (0.1648, 0.5000, 0.8303), Np at (0.0000, 0.0000, 0.5000), As at (0.0001, 0.5000, 0.2582), As at (0.1641, 0.0000, 0.5829) and As at (0.1680, 0.0000, 0.0809).

***

4.
# TlOsW2

A relaxed structure of TlOsW2 (PBE-GGA, Alexandria via LeMat-Bulk).

Its energy of formation is 0.640 eV per atom.

The structure belongs to space group R-3m (No. 166, hexagonal axes); the cell edges are 2.8975, 2.8975 and 28.3371 Å and the angles 90.00°, 90.00° and 120.00°. The distinct sites, in fractional coordinates, are Tl at (0.0000, 0.0000, 0.0000), Os at (0.0000, 0.0000, 0.5000) and W at (0.0000, 0.0000, 0.2433).

***

5.
# TmThPa

A relaxed structure of TmThPa (PBE-GGA, Alexandria via LeMat-Bulk).

Its energy of formation is 0.272 eV per atom.

The structure belongs to space group P-6m2 (No. 187); the cell edges are 5.4898, 5.4898 and 3.3315 Å and the angles 90.00°, 90.00° and 120.00°. The distinct sites, in fractional coordinates, are Tm at (0.0000, 0.0000, 0.0000), Th at (0.6667, 0.3333, 0.5000) and Pa at (0.3333, 0.6667, 0.0000).

***

6.
# CaLa3Ru

A relaxed structure of CaLa3Ru (PBE-GGA, Alexandria via LeMat-Bulk).

Its energy of formation is -0.171 eV per atom.

The structure belongs to space group Pm-3m (No. 221); the cell edges are 5.6572, 5.6572 and 5.6572 Å and the angles 90.00°, 90.00° and 90.00°. The distinct sites, in fractional coordinates, are Ca at (0.0000, 0.0000, 0.0000), La at (0.0000, 0.5000, 0.5000) and Ru at (0.5000, 0.5000, 0.5000).

***

7.
# MgTl5

A relaxed structure of MgTl5 (PBE-GGA, Alexandria via LeMat-Bulk).

Its energy of formation is -0.002 eV per atom.

The structure belongs to space group P4/mmm (No. 123); the cell edges are 3.5390, 3.5390 and 13.8487 Å and the angles 90.00°, 90.00° and 90.00°. The distinct sites, in fractional coordinates, are Mg at (0.0000, 0.0000, 0.0000), Tl at (0.0000, 0.0000, 0.3160), Tl at (0.5000, 0.5000, 0.1435) and Tl at (0.5000, 0.5000, 0.5000).

***

8.
# CuGeAsBr2

A relaxed structure of CuGeAsBr2 (PBE-GGA, Alexandria via LeMat-Bulk).

As for the raw formation energy: 2.0 eV/f.u.

The structure belongs to space group P4/mmm (No. 123); the cell edges are 4.9251, 4.9251 and 4.9256 Å and the angles 90.00°, 90.00° and 90.00°. The distinct sites, in fractional coordinates, are Cu at (0.0000, 0.0000, 0.0000), Ge at (0.5000, 0.5000, 0.5000), As at (0.0000, 0.0000, 0.5000) and Br at (0.0000, 0.5000, 0.0000).

***

Please write out number 5 again, unchanged.
# TmThPa

A relaxed structure of TmThPa (PBE-GGA, Alexandria via LeMat-Bulk).

Its energy of formation is 0.272 eV per atom.

The structure belongs to space group P-6m2 (No. 187); the cell edges are 5.4898, 5.4898 and 3.3315 Å and the angles 90.00°, 90.00° and 120.00°. The distinct sites, in fractional coordinates, are Tm at (0.0000, 0.0000, 0.0000), Th at (0.6667, 0.3333, 0.5000) and Pa at (0.3333, 0.6667, 0.0000).

***

Which formula does entry 7 have?
MgTl5